[1]
! Ba6Au2I3Br, optimized geometry, DFT GGA-PBE; values from VASP
&SYSTEM
  ibrav = 0, nat = 12, ntyp = 4
/
ATOMIC_SPECIES
Ba 137.33 Ba.upf
Au 196.97 Au.upf
I 126.90 I.upf
Br 79.90 Br.upf
CELL_PARAMETERS angstrom
4.167 -7.203 0.000
4.167 7.203 0.000
-2.746 0.000 8.770
ATOMIC_POSITIONS angstrom
Ba -0.053 2.536 6.906
Ba 1.242 0.000 1.847
Ba -0.053 -2.536 6.906
Ba 5.640 2.536 1.864
Ba 4.345 0.000 6.923
Ba 5.640 -2.536 1.864
Au 4.167 4.792 0.000
Au 4.167 -4.792 0.000
I -1.373 0.000 4.385
I 2.794 2.304 4.385
I 2.794 -2.304 4.385
Br 4.167 0.000 0.000
! Volume   526.4 Å³/f.u.
! Formation energy (no corrections)   -1.203 eV/atom
! Space-group type   C2/m
! Raw total energy   -3.237 eV/atom

=====

[2]
! KHfSCl2, optimized geometry, DFT GGA-PBE; values from VASP
&SYSTEM
  ibrav = 0, nat = 5, ntyp = 4
/
ATOMIC_SPECIES
K 39.10 K.upf
Hf 178.49 Hf.upf
S 32.06 S.upf
Cl 35.45 Cl.upf
CELL_PARAMETERS angstrom
5.178 0.000 0.000
0.000 5.178 0.000
0.000 0.000 5.556
ATOMIC_POSITIONS angstrom
K 0.000 0.000 0.000
Hf 2.589 2.589 2.778
S 0.000 0.000 2.778
Cl 0.000 2.589 0.000
Cl 2.589 0.000 0.000
! Volume   149.0 Å³/f.u.
! E above lowest polymorph   1885 meV per atom
! Formation energy (no corrections)   0.382 eV/atom
! Space-group type   P4/mmm
! Raw total energy   -3.393 eV/atom

=====

[3]
! KSb5Au6, optimized geometry, DFT GGA-PBE; values from VASP
&SYSTEM
  ibrav = 0, nat = 12, ntyp = 3
/
ATOMIC_SPECIES
K 39.10 K.upf
Sb 121.76 Sb.upf
Au 196.97 Au.upf
CELL_PARAMETERS angstrom
3.370 -6.710 0.000
3.370 6.710 0.000
-3.062 0.000 6.454
ATOMIC_POSITIONS angstrom
K 0.000 0.000 0.000
Sb 1.839 4.954 3.227
Sb 3.370 2.572 0.000
Sb 1.839 0.000 3.227
Sb 3.370 -2.572 0.000
Sb 1.839 -4.954 3.227
Au 1.042 2.394 1.913
Au -0.239 0.000 5.118
Au 1.042 -2.394 1.913
Au 2.637 2.394 4.541
Au 3.917 0.000 1.336
Au 2.637 -2.394 4.541
! Volume   291.9 Å³/f.u.
! Formation energy (no corrections)   -0.088 eV/atom
! Space-group type   C2/m
! Raw total energy   -3.536 eV/atom

=====

[4]
! Li2Ac3Al7, optimized geometry, DFT GGA-PBE; values from VASP
&SYSTEM
  ibrav = 0, nat = 12, ntyp = 3
/
ATOMIC_SPECIES
Li 6.94 Li.upf
Ac 227.00 Ac.upf
Al 26.98 Al.upf
CELL_PARAMETERS angstrom
2.924 1.688 9.177
-2.924 1.688 9.177
0.000 -3.377 9.177
ATOMIC_POSITIONS angstrom
Li 0.000 0.000 4.532
Li 0.000 0.000 22.998
Ac 0.000 0.000 9.896
Ac 0.000 0.000 13.765
Ac 0.000 0.000 17.634
Al 0.000 0.000 0.000
Al 0.000 -1.659 6.806
Al -1.437 0.829 6.806
Al -1.437 -0.829 20.725
Al 1.437 0.829 6.806
Al 1.437 -0.829 20.725
Al 0.000 1.659 20.725
! Volume   271.8 Å³/f.u.
! Space-group type   R-3m
! E_form   -328 meV/atom
! Raw total energy   -3.857 eV/atom

=====

[5]
! HfBeRu2, optimized geometry, DFT GGA-PBE; values from VASP
&SYSTEM
  ibrav = 0, nat = 4, ntyp = 3
/
ATOMIC_SPECIES
Hf 178.49 Hf.upf
Be 9.01 Be.upf
Ru 101.07 Ru.upf
CELL_PARAMETERS angstrom
3.103 0.000 0.000
0.000 3.103 0.000
0.000 0.000 5.919
ATOMIC_POSITIONS angstrom
Hf 0.000 0.000 0.000
Be 0.000 0.000 2.959
Ru 1.551 1.551 1.666
Ru 1.551 1.551 4.252
! Volume   57.0 Å³/f.u.
! Space-group type   P4/mmm
! E_form   -406 meV/atom
! Raw total energy   -8.464 eV/atom

=====

[6]
! LaTmZnHg, optimized geometry, DFT GGA-PBE; values from VASP
&SYSTEM
  ibrav = 0, nat = 4, ntyp = 4
/
ATOMIC_SPECIES
La 138.91 La.upf
Tm 168.93 Tm.upf
Zn 65.41 Zn.upf
Hg 200.59 Hg.upf
CELL_PARAMETERS angstrom
0.000 3.742 3.742
3.742 0.000 3.742
3.742 3.742 0.000
ATOMIC_POSITIONS angstrom
La 0.000 0.000 0.000
Tm 3.742 3.742 3.742
Zn 5.613 5.613 5.613
Hg 1.871 1.871 1.871
! Volume   104.8 Å³/f.u.
! E above lowest polymorph   42 meV per atom
! Space-group type   F-43m
! E_form   -368 meV/atom
! Raw total energy   -3.112 eV/atom